VASP calculation (PBE) on crystalline NiSb4Ir at its relaxed geometry.

Magnetic moment, Bohr magnetons per cell: 0.00
Crystal system: monoclinic
VASP energy, eV per atom: -5.40

Unit cell a=6.4139 b=6.3846 c=6.4090 alpha=90.00 beta=90.31 gamma=90.00
Atoms (fractional coordinates):
Ni1 0.0000 0.0000 0.0000
Ni2 0.0000 0.5000 0.5000
Sb1 0.1269 0.1322 0.6334
Sb2 0.1269 0.3678 0.1334
Sb3 0.3645 0.6253 0.6263
Sb4 0.3645 0.8747 0.1263
Sb5 0.6355 0.1253 0.8737
Sb6 0.6355 0.3747 0.3737
Sb7 0.8731 0.6322 0.8666
Sb8 0.8731 0.8678 0.3666
Ir1 0.5000 0.0000 0.5000
Ir2 0.5000 0.5000 0.0000


VASP calculation (PBE) on crystalline Ce2Pr5In5 at its relaxed geometry.

Magnetic moment, Bohr magnetons per cell: 2.05
Calculated formation energy, meV per atom: -260.1
Crystal system: monoclinic

Unit cell a=6.4898 b=6.4898 c=12.4635 alpha=108.88 beta=108.88 gamma=47.87
Atoms (fractional coordinates):
Ce1 0.0706 0.0706 0.2581
Ce2 0.9294 0.9294 0.7419
Pr1 0.3414 0.3414 0.4923
Pr2 0.3781 0.3781 0.2284
Pr3 0.5000 0.5000 0.0000
Pr4 0.6219 0.6219 0.7716
Pr5 0.6586 0.6586 0.5077
In1 0.0000 0.0000 0.5000
In2 0.1733 0.1733 0.9664
In3 0.2623 0.2623 0.7265
In4 0.7377 0.7377 0.2735
In5 0.8267 0.8267 0.0336


VASP calculation (PBE) on crystalline TlRh3Br at its relaxed geometry.

Magnetic moment, Bohr magnetons per cell: 3.01
Crystal system: cubic
VASP energy, eV per atom: -3.67

Unit cell a=5.0887 b=5.0887 c=5.0887 alpha=90.00 beta=90.00 gamma=90.00
Atoms (fractional coordinates):
Tl1 0.0000 0.0000 0.0000
Rh1 0.0000 0.0000 0.5000
Rh2 0.0000 0.5000 0.0000
Rh3 0.5000 0.0000 0.0000
Br1 0.5000 0.5000 0.5000


VASP calculation (PBE) on crystalline TlSnGeAu2 at its relaxed geometry.

Magnetic moment, Bohr magnetons per cell: 0.00
Calculated formation energy, meV per atom: -34.6
Crystal system: monoclinic

Unit cell a=7.2368 b=7.2368 c=10.3047 alpha=124.80 beta=124.80 gamma=35.30
Atoms (fractional coordinates):
Tl1 0.0369 0.0369 0.1846
Tl2 0.9631 0.9631 0.8154
Sn1 0.2701 0.2701 0.8816
Sn2 0.7299 0.7299 0.1184
Ge1 0.3923 0.3923 0.4874
Ge2 0.6077 0.6077 0.5126
Au1 0.2260 0.2260 0.5720
Au2 0.3928 0.3928 0.2241
Au3 0.6072 0.6072 0.7759
Au4 0.7740 0.7740 0.4280


VASP calculation (PBE) on crystalline Tl17SnPb11 at its relaxed geometry.

Magnetic moment, Bohr magnetons per cell: 0.00
Calculated formation energy, meV per atom: 1.2
Crystal system: monoclinic

Unit cell a=10.6520 b=10.6520 c=10.6102 alpha=109.48 beta=109.48 gamma=109.58
Atoms (fractional coordinates):
Tl1 0.0000 0.0000 0.0000
Tl2 0.9997 0.6880 0.4069
Tl3 0.0012 0.4064 0.6888
Tl4 0.0018 0.0018 0.6511
Tl5 0.2852 0.5947 0.5994
Tl6 0.3137 0.7194 0.3157
Tl7 0.3186 0.3186 0.7203
Tl8 0.3510 0.3510 0.3526
Tl9 0.4064 0.0012 0.6888
Tl10 0.4074 0.6875 0.0006
Tl11 0.5947 0.2852 0.5994
Tl12 0.5958 0.5958 0.2849
Tl13 0.6494 0.9992 0.0007
Tl14 0.6880 0.9997 0.4069
Tl15 0.6875 0.4074 0.0006
Tl16 0.7194 0.3137 0.3157
Tl17 0.9992 0.6494 0.0007
Sn1 0.6268 0.6268 0.8162
Pb1 0.9997 0.1895 0.3751
Pb2 0.0008 0.3757 0.1930
Pb3 0.1848 0.8095 0.8108
Pb4 0.1895 0.9997 0.3751
Pb5 0.1913 0.3753 0.0017
Pb6 0.3753 0.1913 0.0017
Pb7 0.3757 0.0008 0.1930
Pb8 0.6263 0.8158 0.6310
Pb9 0.8061 0.8061 0.1776
Pb10 0.8095 0.1848 0.8108
Pb11 0.8158 0.6263 0.6310


VASP calculation (PBE) on crystalline Ba2LiGeBr at its relaxed geometry.

Magnetic moment, Bohr magnetons per cell: 0.81
Crystal system: tetragonal
VASP energy, eV per atom: -2.73

Unit cell a=6.3440 b=6.3440 c=4.3999 alpha=90.00 beta=90.00 gamma=90.00
Atoms (fractional coordinates):
Ba1 0.0000 0.5000 0.0000
Ba2 0.5000 0.0000 0.0000
Li1 0.0000 0.0000 0.0000
Ge1 0.5000 0.5000 0.5000
Br1 0.0000 0.0000 0.5000